No. 1
Here is crystalline Ti2FeS at its relaxed geometry from the Alexandria database. Energies are from PBE.

Cell lengths 6.4759, 6.4759, 5.5497 Å; angles 90.00, 90.00, 90.00 degrees
Space group I-42d (No. 122)
Inequivalent atoms, fractional coordinates:
Ti: 0.2483 0.2500 0.1250 x8
Fe: 0.0000 0.0000 0.0000 x4
S: 0.0000 0.0000 0.5000 x4

Energy: -7.3167 eV/atom
Total magnetization: 0.0 Bohr magnetons per cell
Volume: 14.55 Å³/atom

***

No. 2
Here is crystalline PmHoBeIn at its relaxed geometry from the Alexandria database. Energies are from PBE.

Cell lengths 7.3201, 7.3201, 7.3201 Å; angles 90.00, 90.00, 90.00 degrees
Space group F-43m (No. 216)
Inequivalent atoms, fractional coordinates:
Pm: 0.0000 0.0000 0.0000 x4
Ho: 0.0000 0.0000 0.5000 x4
Be: 0.2500 0.2500 0.7500 x4
In: 0.2500 0.2500 0.2500 x4

Energy: -4.0471 eV/atom
Total magnetization: 0.0 Bohr magnetons per cell
Volume: 24.51 Å³/atom

***

No. 3
Here is crystalline Mn4ZnCo5 at its relaxed geometry from the Alexandria database. Energies are from PBE.

Cell lengths 2.8533, 2.8533, 14.2435 Å; angles 90.00, 90.00, 90.00 degrees
Space group P4/mmm (No. 123)
Inequivalent atoms, fractional coordinates:
Mn: 0.0000 0.0000 0.1000 x2
Mn: 0.0000 0.0000 0.3006 x2
Zn: 0.0000 0.0000 0.5000 x1
Co: 0.5000 0.5000 0.0000 x1
Co: 0.5000 0.5000 0.2001 x2
Co: 0.5000 0.5000 0.3927 x2

Energy: -7.3516 eV/atom
Total magnetization: 15.5 Bohr magnetons per cell
Volume: 11.60 Å³/atom

***

No. 4
Here is crystalline Nd2GaSi3 at its relaxed geometry from the Alexandria database. Energies are from PBE.

Cell lengths 8.3922, 8.5968, 14.0283 Å; angles 90.00, 90.00, 90.00 degrees
Space group Fmmm (No. 69)
Inequivalent atoms, fractional coordinates:
Nd: 0.2452 0.0000 0.0000 x8
Nd: 0.2500 0.2500 0.2500 x8
Ga: 0.0000 0.0000 0.3356 x8
Si: 0.0000 0.0000 0.1631 x8
Si: 0.0000 0.2472 0.0846 x16

Energy above the lowest structure with this stoichiometry: 2.6 kJ/mol of formula units
Total magnetization: 0.0 Bohr magnetons per cell
Volume: 21.09 Å³/atom

***

No. 5
Here is crystalline Cd2AgPb at its relaxed geometry from the Alexandria database. Energies are from PBE.

Cell lengths 3.2814, 4.9336, 6.1052 Å; angles 90.00, 103.81, 90.00 degrees
Space group P2/m (No. 10)
Inequivalent atoms, fractional coordinates:
Cd: 0.1581 0.0000 0.2747 x2
Ag: 0.0000 0.5000 0.5000 x1
Pb: 0.5000 0.5000 0.0000 x1

Energy: -2.0240 eV/atom
Total magnetization: 0.0 Bohr magnetons per cell
Volume: 24.00 Å³/atom

***

No. 6
Here is crystalline La2CdPtSe at its relaxed geometry from the Alexandria database. Energies are from PBE.

Cell lengths 5.6826, 5.6826, 4.7591 Å; angles 90.00, 90.00, 90.00 degrees
Space group P4/mmm (No. 123)
Inequivalent atoms, fractional coordinates:
La: 0.0000 0.5000 0.0000 x2
Cd: 0.0000 0.0000 0.5000 x1
Pt: 0.5000 0.5000 0.5000 x1
Se: 0.5000 0.5000 0.0000 x1

Energy: -4.6162 eV/atom
Total magnetization: 0.0 Bohr magnetons per cell
Volume: 30.74 Å³/atom

***

Question: Which of these has the highest volume?
Answer: La2CdPtSe

***

Question: total magnetization of number 6 (La2CdPtSe)?
Answer: 0.0 Bohr magnetons per cell

***

Question: The highest total magnetization belongs to which entry?
Answer: Mn4ZnCo5